First-principles (PBE with a Hubbard U) data for a geometry-optimized Li3Nb2CrO6 structure, as listed in Alexandria.

Unit cell a=2.9236 b=6.1562 c=7.0189 alpha=106.05 beta=102.02 gamma=90.00
Closest atoms and distances in Å follow each position.
Element x y z (fractional)
O 0.9896 0.7657 0.9791  2 Cr 2.03, 3 Li 2.16-2.23, 1 Nb 2.19
Cr 0.5000 0.0000 0.0000  6 O 2.03-2.05
O 0.3446 0.9125 0.6891  1 Cr 2.05, 2 Li 2.12, 2 Nb 2.16
Nb 0.8232 0.6447 0.6464  6 O 2.16-2.23
O 0.6563 0.6011 0.3126  3 Li 2.06-2.07, 3 Nb 2.18-2.23
O 0.0104 0.2343 0.0209  2 Cr 2.03, 3 Li 2.16-2.23, 1 Nb 2.19
Li 0.5000 0.5000 0.0000  6 O 2.06-2.23
Nb 0.1768 0.3553 0.3536  6 O 2.16-2.23
O 0.3437 0.3989 0.6874  3 Li 2.06-2.07, 3 Nb 2.18-2.23
O 0.6554 0.0875 0.3109  1 Cr 2.05, 2 Li 2.12, 2 Nb 2.16
Li 0.1531 0.8370 0.3063  5 O 2.07-2.16
Li 0.8469 0.1630 0.6937  5 O 2.07-2.16

Crystal system = monoclinic
M_tot = 0.2491 μB/atom
SG = No. 12
Volume = 9.9 Å³ per atom
Energy = -89.1 eV/cell